Below is ErRh2O6 after structural relaxation, with properties calculated at the PBE-GGA level.

Calculated values
Uncorrected energy, Ry per atom: -0.49640
ΔE_f (raw), meV per atom: -1308
DOS at the Fermi energy, states/eV/atom: 0.232

Cell lengths 5.4840, 5.4840, 4.9871 Å; angles 90.00, 90.00, 120.00 degrees
Space group P-31m (No. 162)
Asymmetric unit:
Er 0.0000 0.0000 0.0000 (multiplicity 1)
Rh 0.3333 0.6667 0.0000 (multiplicity 2)
O 0.0000 0.3634 0.7987 (multiplicity 6)

Below is Er12Rh3O5 after structural relaxation, with properties calculated at the PBE-GGA level.

Calculated values
Uncorrected energy, Ry per atom: -0.49722
ΔE_f (raw), meV per atom: -1685
DOS at the Fermi energy, states/eV/atom: 0.703

Cell lengths 14.983, 14.983, 14.983 Å; angles 90.00, 90.00, 90.00 degrees
Space group Ia-3d (No. 230)
Asymmetric unit:
Er 0.033 0.056 0.652 (multiplicity 96)
Rh 0.000 0.250 0.125 (multiplicity 24)
O 0.000 0.000 0.000 (multiplicity 16)
O 0.000 0.250 0.375 (multiplicity 24)

Below is Er3RhO6 after structural relaxation, with properties calculated at the PBE-GGA level.

Calculated values
Uncorrected energy, Ry per atom: -0.58585
ΔE_f (raw), meV per atom: -2892
DOS at the Fermi energy, states/eV/atom: 0.000

Cell lengths 9.4227, 9.4227, 10.6591 Å; angles 90.00, 90.00, 120.00 degrees
Space group R-3 (No. 148, hexagonal axes)
Asymmetric unit:
Er 0.0437 0.7775 0.2001 (multiplicity 18)
Rh 0.0000 0.0000 0.0000 (multiplicity 3)
Rh 0.0000 0.0000 0.5000 (multiplicity 3)
O 0.0282 0.8184 0.4027 (multiplicity 18)
O 0.0291 0.8408 0.8812 (multiplicity 18)

What did the second record say?
Below is Er12Rh3O5 after structural relaxation, with properties calculated at the PBE-GGA level.

Calculated values
Uncorrected energy, Ry per atom: -0.49722
ΔE_f (raw), meV per atom: -1685
DOS at the Fermi energy, states/eV/atom: 0.703

Cell lengths 14.983, 14.983, 14.983 Å; angles 90.00, 90.00, 90.00 degrees
Space group Ia-3d (No. 230)
Asymmetric unit:
Er 0.033 0.056 0.652 (multiplicity 96)
Rh 0.000 0.250 0.125 (multiplicity 24)
O 0.000 0.000 0.000 (multiplicity 16)
O 0.000 0.250 0.375 (multiplicity 24)

What is the ΔE_f (raw) in the third record? -2892 meV per atom

What is the ΔE_f (raw) in the second record? -1685 meV per atom